Record 1
La2MgCoAu after structural relaxation. Source: Alexandria, functional GGA-PBEsol.

Lattice parameters (Å, degrees): 5.028 5.028 5.022 90.00 90.00 90.00
Fractional coordinates of all 5 atoms:
1 La 0.000 0.500 0.000
2 La 0.500 0.000 0.000
3 Mg 0.000 0.000 0.500
4 Co 0.500 0.500 0.000
5 Au 0.500 0.500 0.500

Summary:
Energy of formation (eV per atom): -0.16
DOS(E_F) (states/eV per atom): 0.66
Calculated density (kg/m³): 7298

=====

Record 2
TlI2NF after structural relaxation. Source: Alexandria, functional GGA-PBEsol.

Lattice parameters (Å, degrees): 5.928 5.928 4.295 90.00 90.00 90.00
Fractional coordinates of all 5 atoms:
1 Tl 0.000 0.000 0.000
2 I 0.000 0.500 0.000
3 I 0.500 0.000 0.000
4 N 0.000 0.000 0.500
5 F 0.500 0.500 0.500

Summary:
Formation energy without anion corrections (eV/atom): 0.86
DOS(E_F) (states/eV per atom): 1.32
Calculated density (kg/m³): 5404